[1]
First-principles (PBE-GGA) data for crystalline LaPd3Pt2 at its relaxed geometry, as listed in Alexandria.

Results
* offset from the most stable computed form: 0.000 eV per formula unit

Geometry as POSCAR:
```
LaPd3Pt2
1.0
5.4378 0.0000 0.0000
-2.7189 4.7092 0.0000
0.0000 0.0000 4.4421
La Pd Pt
1 3 2
Direct
0.0000 0.0000 0.0000
0.0000 0.5000 0.5000
0.5000 0.0000 0.5000
0.5000 0.5000 0.5000
0.3333 0.6667 0.0000
0.6667 0.3333 0.0000
```

[2]
First-principles (PBE-GGA) data for crystalline La7PdPt5 at its relaxed geometry, as listed in Alexandria.

Geometry as POSCAR:
```
La7PdPt5
1.0
2.1083 -7.0462 0.0000
2.1083 7.0462 0.0000
0.0000 0.0000 25.1412
La Pd Pt
14 2 10
Direct
0.0556 0.9444 0.7500
0.1352 0.8648 0.0369
0.1352 0.8648 0.4631
0.3178 0.6822 0.6754
0.3178 0.6822 0.8246
0.4100 0.5900 0.1077
0.4100 0.5900 0.3923
0.5900 0.4100 0.6077
0.5900 0.4100 0.8923
0.6822 0.3178 0.1754
0.6822 0.3178 0.3246
0.8648 0.1352 0.5369
0.8648 0.1352 0.9631
0.9444 0.0556 0.2500
0.2917 0.7083 0.2500
0.7083 0.2917 0.7500
0.0431 0.9569 0.1476
0.0431 0.9569 0.3524
0.2260 0.7740 0.5729
0.2260 0.7740 0.9271
0.5000 0.5000 0.0000
0.5000 0.5000 0.5000
0.7740 0.2260 0.0729
0.7740 0.2260 0.4271
0.9569 0.0431 0.6476
0.9569 0.0431 0.8524
```

[3]
First-principles (PBE-GGA) data for crystalline La2PdPt at its relaxed geometry, as listed in Alexandria.

Geometry as POSCAR:
```
La2PdPt
1.0
-3.8675 3.8675 3.6961
3.8675 -3.8675 3.6961
3.8675 3.8675 -3.6961
La Pd Pt
4 2 2
Direct
0.1217 0.6250 0.9967
0.3750 0.3717 0.4967
0.6283 0.1250 0.0033
0.8750 0.8783 0.5033
0.2500 0.7500 0.5000
0.5000 0.5000 0.0000
0.0000 0.0000 0.0000
0.7500 0.2500 0.5000
```

[4]
First-principles (PBE-GGA) data for crystalline LaPd3Pt at its relaxed geometry, as listed in Alexandria.

Results
* offset from the most stable computed form: 7.377 eV per formula unit

Geometry as POSCAR:
```
LaPd3Pt
1.0
5.0136 0.0000 0.0000
0.0000 5.0136 0.0000
0.0000 0.0000 5.0136
La Pd Pt
1 3 1
Direct
0.0000 0.0000 0.0000
0.0000 0.0000 0.5000
0.0000 0.5000 0.0000
0.5000 0.0000 0.0000
0.5000 0.5000 0.5000
```

[5]
First-principles (PBE-GGA) data for crystalline La5Pd5Pt2 at its relaxed geometry, as listed in Alexandria.

Geometry as POSCAR:
```
La5Pd5Pt2
1.0
7.9477 -2.0884 0.0000
7.9477 2.0884 0.0000
-7.3092 0.0000 8.7850
La Pd Pt
5 5 2
Direct
0.0000 0.0000 0.0000
0.1031 0.1031 0.4154
0.2064 0.2064 0.8257
0.7936 0.7936 0.1743
0.8969 0.8969 0.5846
0.2746 0.2746 0.3377
0.4188 0.4188 0.1490
0.5000 0.5000 0.5000
0.5812 0.5812 0.8510
0.7254 0.7254 0.6623
0.3682 0.3682 0.7487
0.6318 0.6318 0.2513
```

[6]
First-principles (PBE-GGA) data for crystalline LaPdPt3 at its relaxed geometry, as listed in Alexandria.

Results
* offset from the most stable computed form: 0.000 eV per formula unit

Geometry as POSCAR:
```
LaPdPt3
1.0
4.8909 0.0000 0.0000
0.0000 4.8909 0.0000
0.0000 0.0000 4.8909
La Pd Pt
1 1 3
Direct
0.0000 0.0000 0.0000
0.5000 0.5000 0.5000
0.0000 0.5000 0.5000
0.5000 0.0000 0.5000
0.5000 0.5000 0.0000
```

no.,calculated total energy (eV per atom),E_form (eV/atom)
1,-6.072,-0.6405
2,-6.418,-1.0418
3,-5.923,-0.6506
4,-4.452,0.8577
5,-6.123,-0.8991
6,-5.543,0.1054